[1]
SrSmPO | GGA-PBE | optimized geometry

Output
raw total energy	-49.53	eV/cell
polymorph energy (0 for the lowest one)	0.000	eV per atom
calculated volume	26.9	Å³ per atom

abc: 4.449 7.361 6.572
angles: 90.00 90.00 90.00
Fractional positions:
1 Sr 0.500 0.185 0.441
2 Sr 0.500 0.815 0.941
3 P 0.500 0.782 0.400
4 P 0.500 0.218 0.900
5 O 0.000 0.659 0.875
6 O 0.000 0.342 0.375
7 Sm 0.000 0.390 0.038
8 Sm 0.000 0.610 0.538

---

[2]
Y2ZnIr | GGA-PBE | optimized geometry

Output
raw total energy	-101.75	eV/cell
E_form	-0.597	eV/atom
calculated volume	21.2	Å³ per atom

abc: 6.952 7.028 6.941
angles: 90.00 90.00 90.00
Fractional positions:
1 Y 0.250 0.502 0.250
2 Y 0.250 0.998 0.250
3 Y 0.250 0.998 0.750
4 Y 0.750 0.498 0.250
5 Y 0.250 0.502 0.750
6 Y 0.750 0.002 0.250
7 Y 0.750 0.498 0.750
8 Y 0.750 0.002 0.750
9 Ir 0.996 0.750 0.500
10 Ir 0.496 0.250 0.000
11 Ir 0.504 0.750 0.000
12 Ir 0.004 0.250 0.500
13 Zn 0.495 0.250 0.500
14 Zn 0.505 0.750 0.500
15 Zn 0.995 0.750 0.000
16 Zn 0.005 0.250 0.000

---

[3]
Er6Lu2Se | GGA-PBE | optimized geometry

Output
raw total energy	-43.08	eV/cell
calculated volume	28.7	Å³ per atom

abc: 8.982 8.982 3.694
angles: 90.00 90.00 120.00
Fractional positions:
1 Lu 0.667 0.333 0.500
2 Lu 0.333 0.667 0.500
3 Se 0.000 0.000 0.000
4 Er 0.393 0.393 0.000
5 Er 0.740 0.740 0.500
6 Er 0.000 0.607 0.000
7 Er 0.260 0.000 0.500
8 Er 0.000 0.260 0.500
9 Er 0.607 0.000 0.000

---

[4]
Fe2Au | GGA-PBE | optimized geometry

Output
raw total energy	-37.05	eV/cell
E_form	0.452	eV/atom
calculated volume	15.3	Å³ per atom

abc: 4.939 4.939 4.939
angles: 105.93 105.93 116.81
Fractional positions:
1 Fe 0.366 0.134 0.500
2 Fe 0.634 0.866 0.500
3 Fe 0.134 0.634 0.768
4 Fe 0.866 0.366 0.232
5 Au 0.250 0.250 0.000
6 Au 0.750 0.750 0.000

---

[5]
Zn2IBr3 | GGA-PBE | optimized geometry

Output
raw total energy	-13.87	eV/cell
calculated volume	34.1	Å³ per atom

abc: 3.965 4.048 12.733
angles: 90.00 90.00 90.00
Fractional positions:
1 Br 0.000 0.500 0.385
2 Br 0.500 0.000 0.612
3 Br 0.500 0.000 0.122
4 I 0.000 0.500 0.875
5 Zn 0.000 0.000 0.006
6 Zn 0.500 0.500 0.500

---

[6]
Y3CuGeS7 | GGA-PBE | optimized geometry

Output
raw total energy	-147.69	eV/cell
calculated volume	20.5	Å³ per atom

abc: 9.887 9.887 5.814
angles: 90.00 90.00 120.00
Fractional positions:
1 S 0.741 0.900 0.214
2 S 0.667 0.333 0.453
3 S 0.160 0.259 0.214
4 S 0.902 0.480 0.995
5 S 0.520 0.422 0.995
6 S 0.900 0.160 0.714
7 S 0.422 0.902 0.495
8 S 0.480 0.578 0.495
9 S 0.098 0.520 0.495
10 S 0.100 0.840 0.214
11 S 0.578 0.098 0.995
12 S 0.333 0.667 0.953
13 S 0.840 0.741 0.714
14 S 0.259 0.100 0.714
15 Ge 0.333 0.667 0.332
16 Ge 0.667 0.333 0.832
17 Y 0.776 0.643 0.252
18 Y 0.134 0.776 0.752
19 Y 0.866 0.224 0.252
20 Y 0.224 0.357 0.752
21 Y 0.643 0.866 0.752
22 Y 0.357 0.134 0.252
23 Cu 0.000 0.000 0.195
24 Cu 0.000 0.000 0.695